No. 1
Al7Co: optimized geometry, GGA-PBE.

Cell lengths 5.546, 5.546, 5.546 Å; angles 60.00, 60.00, 60.00 degrees
Positions (direct):
Al: 0.500 0.500 0.000
Al: 0.500 0.000 0.500
Al: 0.500 0.000 0.000
Al: 0.000 0.000 0.500
Al: 0.000 0.500 0.000
Al: 0.000 0.500 0.500
Al: 0.500 0.500 0.500
Co: 0.000 0.000 0.000

Results
N(E_F)	0.266	states/eV/atom
calculated formation energy	-0.7	eV per formula unit
SG	No. 225

No. 2
Cs2PdSCl6: optimized geometry, GGA-PBE.

Cell lengths 7.034, 7.034, 7.630 Å; angles 62.55, 62.55, 90.00 degrees
Positions (direct):
Cs: 0.750 0.250 0.500
Cs: 0.250 0.750 0.500
S: 0.500 0.500 0.000
Pd: 0.000 0.000 0.000
Cl: 0.203 0.203 0.593
Cl: 0.797 0.797 0.407
Cl: 0.258 0.258 0.000
Cl: 0.742 0.742 0.000
Cl: 0.742 0.258 0.000
Cl: 0.258 0.742 0.000

Results
N(E_F)	0.270	states/eV/atom
formation energy (no corrections)	-0.94	eV/atom
SG	No. 139

No. 3
LiAl2Tc: optimized geometry, GGA-PBE.

Cell lengths 4.234, 3.146, 4.234 Å; angles 90.00, 90.00, 90.00 degrees
Positions (direct):
Li: 0.000 0.625 0.375
Tc: 0.500 0.625 0.875
Al: 0.000 0.125 0.875
Al: 0.500 0.125 0.375

Results
N(E_F)	0.603	states/eV/atom
calculated formation energy	-1.2	eV per formula unit
SG	No. 123

No. 4
HgIrPb2I: optimized geometry, GGA-PBE.

Cell lengths 5.321, 5.321, 5.401 Å; angles 90.00, 90.00, 90.00 degrees
Positions (direct):
Pb: 0.000 0.500 0.000
Pb: 0.500 0.000 0.000
I: 0.500 0.500 0.500
Ir: 0.000 0.000 0.000
Hg: 0.000 0.000 0.500

Results
N(E_F)	0.329	states/eV/atom
formation energy (no corrections)	-0.05	eV/atom
SG	No. 123

No. 5
Tb6Pm12Al: optimized geometry, GGA-PBE.

Cell lengths 8.578, 8.578, 8.578 Å; angles 88.69, 88.69, 88.69 degrees
Positions (direct):
Tb: 0.744 0.902 0.284
Tb: 0.716 0.256 0.098
Tb: 0.098 0.716 0.256
Tb: 0.256 0.098 0.716
Tb: 0.284 0.744 0.902
Tb: 0.902 0.284 0.744
Pm: 0.785 0.537 0.434
Pm: 0.434 0.785 0.537
Pm: 0.537 0.434 0.785
Pm: 0.215 0.463 0.566
Pm: 0.566 0.215 0.463
Pm: 0.463 0.566 0.215
Pm: 0.017 0.178 0.361
Pm: 0.822 0.639 0.983
Pm: 0.639 0.983 0.822
Pm: 0.983 0.822 0.639
Pm: 0.178 0.361 0.017
Pm: 0.361 0.017 0.178
Al: 0.000 0.000 0.000

Results
N(E_F)	1.532	states/eV/atom
calculated formation energy	1.6	eV per formula unit
SG	No. 148

No. 6
Ti2IrRuS: optimized geometry, GGA-PBE.

Cell lengths 4.710, 4.242, 4.710 Å; angles 90.00, 90.00, 90.00 degrees
Positions (direct):
Ru: 0.000 0.000 0.000
S: 0.000 0.500 0.000
Ir: 0.500 0.500 0.500
Ti: 0.000 0.000 0.500
Ti: 0.500 0.000 0.000

Results
N(E_F)	1.309	states/eV/atom
formation energy (no corrections)	0.60	eV/atom
SG	No. 123

No. 7
Ac4Ce3ErSe8: optimized geometry, GGA-PBE.

Cell lengths 8.593, 8.678, 8.593 Å; angles 119.68, 120.00, 90.00 degrees
Last column: magnetic moment on the atom in μB.
Positions (direct):
Ac: 0.500 0.000 0.000  0.01
Ac: 0.500 0.000 0.500  0.00
Ac: 0.000 0.000 0.000  0.00
Ac: 0.000 0.000 0.500  0.00
Ce: 0.500 0.500 0.000  0.82
Ce: 0.500 0.500 0.500  0.82
Ce: 0.000 0.500 0.500  0.82
Er: 0.000 0.500 0.000  0.02
Se: 0.239 0.727 0.989  -0.01
Se: 0.239 0.727 0.477  -0.01
Se: 0.256 0.267 0.511  -0.01
Se: 0.750 0.727 0.989  -0.01
Se: 0.250 0.273 0.011  -0.01
Se: 0.744 0.733 0.489  -0.01
Se: 0.761 0.273 0.523  -0.01
Se: 0.761 0.273 0.011  -0.01

Results
N(E_F)	1.384	states/eV/atom
formation energy (no corrections)	-1.81	eV/atom
SG	No. 166

No. 8
LaY2Mg: optimized geometry, GGA-PBE.

Cell lengths 3.603, 3.603, 11.544 Å; angles 81.02, 81.02, 60.00 degrees
Positions (direct):
La: 0.500 0.500 0.499
Y: 0.077 0.077 0.770
Y: 0.257 0.257 0.230
Mg: 0.666 0.666 0.001

Results
N(E_F)	1.415	states/eV/atom
calculated formation energy	0.2	eV per formula unit
SG	No. 160